Record 1
Material: Cd2PdN
Method: DFT, PBE
State: optimized geometry

Cell and atoms, written as CIF:
```
data_Cd2PdN
_cell_length_a 6.996
_cell_length_b 6.996
_cell_length_c 5.469
_cell_angle_alpha 90.00
_cell_angle_beta 90.00
_cell_angle_gamma 90.00
_symmetry_space_group_name_H-M 'I -4 2 d'
_symmetry_Int_Tables_number 122
_symmetry_space_group_name_Hall 'I -4 2bw'
loop_
_atom_site_label
_atom_site_fract_x
_atom_site_fract_y
_atom_site_fract_z
_atom_site_occupancy
Cd1 0.181 0.250 0.125 1
Pd1 0.000 0.000 0.500 1
N1 0.000 0.000 0.000 1
```

Summary:
The value obtained for the total magnetic moment is 0.0 μB/cell. As for the formation energy from raw total energies: 0.5271 eV per atom. As for the calculated density: 8.6 g/cm³. As for the density of states at the Fermi level: 0.97 states/eV/f.u.

Record 2
Material: La4Nd3UN8
Method: DFT, PBE
State: optimized geometry

Cell and atoms, written as CIF:
```
data_La4Nd3UN8
_cell_length_a 7.2890
_cell_length_b 7.2890
_cell_length_c 18.0359
_cell_angle_alpha 90.00
_cell_angle_beta 90.00
_cell_angle_gamma 120.00
_symmetry_space_group_name_H-M 'R -3 m'
_symmetry_Int_Tables_number 166
_symmetry_space_group_name_Hall '-R 3 2"'
loop_
_atom_site_label
_atom_site_fract_x
_atom_site_fract_y
_atom_site_fract_z
_atom_site_occupancy
La1 0.0000 0.0000 0.0000 1
La2 0.0000 0.5000 0.0000 1
Nd1 0.0000 0.5000 0.5000 1
U1 0.0000 0.0000 0.5000 1
N1 0.0000 0.0000 0.2487 1
N2 0.0335 0.5167 0.2398 1
```

Summary:
The value obtained for the total magnetic moment is 0.0 μB/cell. As for the formation energy from raw total energies: -1.3698 eV per atom. As for the calculated density: 8.0 g/cm³. As for the density of states at the Fermi level: 6.97 states/eV/f.u.

Record 3
Material: TeRu2Se
Method: DFT, PBE
State: optimized geometry

Cell and atoms, written as CIF:
```
data_TeRu2Se
_cell_length_a 3.164
_cell_length_b 3.852
_cell_length_c 6.238
_cell_angle_alpha 90.00
_cell_angle_beta 90.00
_cell_angle_gamma 90.00
_symmetry_space_group_name_H-M 'P m m 2'
_symmetry_Int_Tables_number 25
_symmetry_space_group_name_Hall 'P 2 -2'
loop_
_atom_site_label
_atom_site_fract_x
_atom_site_fract_y
_atom_site_fract_z
_atom_site_occupancy
Te1 0.000 0.000 0.000 1
Ru1 0.000 0.000 0.425 1
Ru2 0.500 0.500 0.168 1
Se1 0.500 0.500 0.551 1
```

Summary:
The value obtained for the total magnetic moment is 0.0 μB/cell. As for the formation energy from raw total energies: 0.0677 eV per atom. As for the calculated density: 8.9 g/cm³. The energy above the most stable polymorph in this dataset comes out at 0.000 eV per atom. As for the density of states at the Fermi level: 3.64 states/eV/f.u.

Record 4
Material: LiGdGeAu
Method: DFT, PBE
State: optimized geometry

Cell and atoms, written as CIF:
```
data_LiGdGeAu
_cell_length_a 6.885
_cell_length_b 6.885
_cell_length_c 6.885
_cell_angle_alpha 90.00
_cell_angle_beta 90.00
_cell_angle_gamma 90.00
_symmetry_space_group_name_H-M 'F -4 3 m'
_symmetry_Int_Tables_number 216
_symmetry_space_group_name_Hall 'F -4 2 3'
loop_
_atom_site_label
_atom_site_fract_x
_atom_site_fract_y
_atom_site_fract_z
_atom_site_occupancy
Li1 0.000 0.000 0.000 1
Gd1 0.000 0.000 0.500 1
Ge1 0.250 0.250 0.750 1
Au1 0.250 0.250 0.250 1
```

Summary:
The value obtained for the total magnetic moment is 27.8 μB/cell. As for the calculated density: 8.8 g/cm³. The formation energy comes out at -2.49 eV per formula unit. As for the density of states at the Fermi level: 2.30 states/eV/f.u.